[1]
! HfP2HCl (PBE-GGA, optimized geometry); values from VASP
! Space-group type: P4/mmm (123)
! Offset from the most stable computed form: 0.000 eV per atom
! Theoretical density: 6.64 g/cm³
&SYSTEM
  ibrav = 0, nat = 5, ntyp = 4
/
ATOMIC_SPECIES
Hf 178.49 Hf.upf
P 30.97 P.upf
H 1.01 H.upf
Cl 35.45 Cl.upf
ATOMIC_POSITIONS crystal
Hf 0.000 0.000 0.000
P 0.000 0.500 0.500
P 0.500 0.000 0.500
H 0.500 0.500 0.500
Cl 0.500 0.500 0.000
CELL_PARAMETERS angstrom
3.777 0.000 0.000
0.000 3.777 0.000
0.000 0.000 4.853

=====

[2]
! HfP2HCl (PBE-GGA, optimized geometry); values from VASP
! Space-group type: P4/mmm (123)
! Offset from the most stable computed form: 0.310 eV per atom
! Theoretical density: 3.60 g/cm³
&SYSTEM
  ibrav = 0, nat = 5, ntyp = 4
/
ATOMIC_SPECIES
Hf 178.49 Hf.upf
P 30.97 P.upf
H 1.01 H.upf
Cl 35.45 Cl.upf
ATOMIC_POSITIONS crystal
Hf 0.000 0.000 0.000
P 0.000 0.500 0.000
P 0.500 0.000 0.000
H 0.500 0.500 0.500
Cl 0.000 0.000 0.500
CELL_PARAMETERS angstrom
5.028 0.000 0.000
0.000 5.028 0.000
0.000 0.000 5.058

=====

[3]
! Hf2HRhCl (PBE-GGA, optimized geometry); values from VASP
! Space-group type: P4/mmm (123)
! VASP energy: -32.42 eV/cell
! Theoretical density: 9.34 g/cm³
&SYSTEM
  ibrav = 0, nat = 5, ntyp = 4
/
ATOMIC_SPECIES
Hf 178.49 Hf.upf
H 1.01 H.upf
Rh 102.91 Rh.upf
Cl 35.45 Cl.upf
ATOMIC_POSITIONS crystal
Hf 0.000 0.500 0.000
Hf 0.500 0.000 0.000
H 0.000 0.000 0.500
Rh 0.000 0.000 0.000
Cl 0.500 0.500 0.500
CELL_PARAMETERS angstrom
5.162 0.000 0.000
0.000 5.162 0.000
0.000 0.000 3.313

=====

Q: theoretical density of number 1 (HfP2HCl)?
A: 6.64 g/cm³

=====

Q: Number 1 is which compound?
A: HfP2HCl